DFT (PBE) results for a geometry-optimized Ba2CaZnPt structure.

Cell: 6.2337 6.2337 5.0494 Å, 90.00 90.00 90.00°
Last column: nearest neighbours and their distance in Å.
Space group P4/mmm (No. 123)
Inequivalent atoms, fractional coordinates:
Ba  0.0000  0.5000  0.0000 x2  2 Pt 3.12
Ca  0.0000  0.0000  0.5000 x1  8 Ba 4.01, 4 Zn 4.41
Zn  0.5000  0.5000  0.5000 x1  2 Pt 2.52
Pt  0.5000  0.5000  0.0000 x1  2 Zn 2.52

Calculated values
DFT total energy: -2.90 eV per atom
Total moment: 0.000 μB per atom
ΔE to the lowest computed polymorph: 56.1 meV per atom
ΔE_f: -26.0 kJ per mole of atoms

=====

DFT (PBE) results for a geometry-optimized BaCa2ZnPt structure.

Cell: 5.6185 5.6185 5.1090 Å, 90.00 90.00 90.00°
Last column: nearest neighbours and their distance in Å.
Space group P4/mmm (No. 123)
Inequivalent atoms, fractional coordinates:
Ba  0.0000  0.0000  0.0000 x1  8 Ca 3.80, 4 Zn 3.97
Ca  0.0000  0.5000  0.5000 x2  2 Pt 2.81
Zn  0.5000  0.5000  0.0000 x1  2 Pt 2.55
Pt  0.5000  0.5000  0.5000 x1  2 Zn 2.55, 4 Ca 2.81

Calculated values
DFT total energy: -3.02 eV per atom
Total moment: 0.000 μB per atom
ΔE_f: -36.1 kJ per mole of atoms

=====

DFT (PBE) results for a geometry-optimized Ba2CaZrPt structure.

Cell: 6.5368 6.5368 4.9049 Å, 90.00 90.00 90.00°
Last column: nearest neighbours and their distance in Å.
Space group P4/mmm (No. 123)
Inequivalent atoms, fractional coordinates:
Ba  0.0000  0.5000  0.0000 x2  2 Ca 3.27
Ca  0.0000  0.0000  0.0000 x1  2 Pt 2.45
Zr  0.5000  0.5000  0.5000 x1  8 Ba 4.09
Pt  0.0000  0.0000  0.5000 x1  2 Ca 2.45

Calculated values
DFT total energy: -3.22 eV per atom
Total moment: 0.701 μB per atom
ΔE_f: 83.4 kJ per mole of atoms